DFT (PBE) results for a relaxed structure of TbPN2.

Computed properties:
Electronic total energy   -7.1750 eV/atom
Density of states at the Fermi level   1.1 states/eV per cell
Spin magnetization   0.00 Bohr magnetons per cell
Volume   63.4 Å³/cell

Cell lengths 6.0701, 6.0701, 6.0701 Å; angles 34.33, 34.33, 34.33 degrees
Element x y z (fractional)
Tb (0.0000, 0.0000, 0.0000)
P (0.5000, 0.5000, 0.5000)
N (0.4040, 0.4040, 0.4040)
N (0.5960, 0.5960, 0.5960)